DFT (PBE) results for an optimized crystal structure of In2HgCl.

Lattice parameters (Å, degrees): 5.377 5.377 5.377 60.00 60.00 60.00
Atoms (fractional coordinates):
1 Hg 0.500 0.500 0.500
2 In 0.750 0.750 0.750
3 In 0.250 0.250 0.250
4 Cl 0.000 0.000 0.000

## Properties
* final energy: -8.6 eV/f.u.
* total moment: 0.0 μB per cell
* formation energy from raw total energies: -1.0 eV per formula unit

***

DFT (PBE) results for an optimized crystal structure of BaAg4Ru.

Lattice parameters (Å, degrees): 5.663 5.663 5.663 60.00 60.00 60.00
Atoms (fractional coordinates):
1 Ba 0.750 0.750 0.750
2 Ag 0.374 0.374 0.879
3 Ag 0.374 0.879 0.374
4 Ag 0.879 0.374 0.374
5 Ru 0.000 0.000 0.000
6 Ag 0.374 0.374 0.374

## Properties
* final energy: -20.4 eV/f.u.
* ΔH_f (0 K): 0.37 eV per atom
* total moment: 0.0 μB per cell